Compound: BaNiTe2Ru
Source: the Alexandria database
Functional: PBE
Structure: relaxed Values from VASP.

Computed properties:
As for the symmetry: P4/mmm, No. 123. The magnetization comes out at 0.24 μB/f.u. For the energy relative to the elements, uncorrected, the calculation gives -154.0 meV/atom.

Quantum ESPRESSO input file:
```
&SYSTEM
  ibrav = 0, nat = 5, ntyp = 4
/
ATOMIC_SPECIES
Ni 58.69 Ni.upf
Te 127.60 Te.upf
Ru 101.07 Ru.upf
Ba 137.33 Ba.upf
ATOMIC_POSITIONS angstrom
Ni 0.0000 2.3406 0.0000
Te 2.6928 0.0000 0.0000
Te 0.0000 0.0000 2.6928
Ru 0.0000 0.0000 0.0000
Ba 2.6928 2.3406 2.6928
CELL_PARAMETERS angstrom
5.3856 0.0000 0.0000
0.0000 4.6813 0.0000
0.0000 0.0000 5.3856
```